No. 1
Computed, not measured: crystalline LiAc2Pb2Au4 at its relaxed geometry at the PBE level of DFT.

Cell: 6.775 6.775 6.775 Å, 116.81 116.81 95.62°
Atoms (fractional coordinates):
Li1 0.000 0.000 0.000
Ac1 0.250 0.750 0.500
Ac2 0.750 0.250 0.500
Pb1 0.300 0.300 0.000
Pb2 0.700 0.700 0.000
Au1 0.257 0.257 0.514
Au2 0.257 0.743 0.000
Au3 0.743 0.257 0.000
Au4 0.743 0.743 0.486

Values from the calculation:
**E_form**: -450 kJ/mol of formula units
**M_tot**: 0.00 μB/cell
**Symmetry**: I4/mmm, No. 139

No. 2
Computed, not measured: crystalline Li2AcPbAu5 at its relaxed geometry at the PBE level of DFT.

Cell: 4.953 4.953 8.002 Å, 90.00 90.00 90.00°
Atoms (fractional coordinates):
Li1 0.000 0.000 0.167
Li2 0.000 0.000 0.833
Ac1 0.500 0.500 0.500
Pb1 0.500 0.500 0.000
Au1 0.000 0.000 0.500
Au2 0.000 0.500 0.237
Au3 0.000 0.500 0.763
Au4 0.500 0.000 0.237
Au5 0.500 0.000 0.763

Values from the calculation:
**E_form**: -365 kJ/mol of formula units
**M_tot**: 0.00 μB/cell
**Symmetry**: P4/mmm, No. 123

No. 3
Computed, not measured: crystalline Li4Ac2Pd3Au at its relaxed geometry at the PBE level of DFT.

Cell: 4.399 4.399 10.657 Å, 90.00 90.00 90.00°
Atoms (fractional coordinates):
Li1 0.000 0.000 0.000
Li2 0.000 0.500 0.387
Li3 0.500 0.000 0.613
Li4 0.500 0.500 0.000
Ac1 0.000 0.500 0.740
Ac2 0.500 0.000 0.260
Pd1 0.000 0.000 0.500
Pd2 0.000 0.500 0.148
Pd3 0.500 0.000 0.852
Au1 0.500 0.500 0.500

Values from the calculation:
**E_form**: -515 kJ/mol of formula units
**M_tot**: 0.00 μB/cell
**Symmetry**: P-4m2, No. 115

No. 4
Computed, not measured: crystalline LiAcPd3Au at its relaxed geometry at the PBE level of DFT.

Cell: 7.268 7.268 6.085 Å, 90.00 90.00 132.11°
Atoms (fractional coordinates):
Li1 0.086 0.914 0.750
Li2 0.914 0.086 0.250
Ac1 0.318 0.682 0.750
Ac2 0.682 0.318 0.250
Pd1 0.140 0.860 0.250
Pd2 0.267 0.267 0.000
Pd3 0.267 0.267 0.500
Pd4 0.733 0.733 0.000
Pd5 0.733 0.733 0.500
Pd6 0.860 0.140 0.750
Au1 0.348 0.652 0.250
Au2 0.652 0.348 0.750

Values from the calculation:
**E_form**: -306 kJ/mol of formula units
**M_tot**: 0.00 μB/cell
**Symmetry**: Cmcm, No. 63

No. 5
Computed, not measured: crystalline LiAc2Pd6Au at its relaxed geometry at the PBE level of DFT.

Cell: 6.711 6.711 6.712 Å, 119.92 119.92 90.04°
Atoms (fractional coordinates):
Li1 0.000 0.000 0.000
Ac1 0.250 0.750 0.500
Ac2 0.750 0.250 0.500
Pd1 0.228 0.228 0.000
Pd2 0.228 0.228 0.457
Pd3 0.228 0.772 0.000
Pd4 0.772 0.228 0.000
Pd5 0.772 0.772 0.000
Pd6 0.772 0.772 0.543
Au1 0.500 0.500 0.000

Values from the calculation:
**E_form**: -341 kJ/mol of formula units
**M_tot**: 0.00 μB/cell
**Symmetry**: C2/m, No. 12

No. 6
Computed, not measured: crystalline Li2Ac3Pm2Au4 at its relaxed geometry at the PBE level of DFT.

Cell: 4.876 4.876 15.349 Å, 90.00 90.00 120.00°
Atoms (fractional coordinates):
Li1 0.333 0.667 0.131
Li2 0.667 0.333 0.869
Ac1 0.000 0.000 0.000
Ac2 0.000 0.000 0.251
Ac3 0.000 0.000 0.749
Pm1 0.333 0.667 0.574
Pm2 0.667 0.333 0.426
Au1 0.333 0.667 0.366
Au2 0.333 0.667 0.875
Au3 0.667 0.333 0.125
Au4 0.667 0.333 0.634

Values from the calculation:
**E_form**: -563 kJ/mol of formula units
**M_tot**: 0.00 μB/cell
**Symmetry**: P-3m1, No. 164

No. 7
Computed, not measured: crystalline LiAcPrAu at its relaxed geometry at the PBE level of DFT.

Cell: 5.458 5.458 5.458 Å, 60.00 60.00 60.00°
Atoms (fractional coordinates):
Li1 0.000 0.000 0.000
Ac1 0.250 0.250 0.250
Pr1 0.750 0.750 0.750
Au1 0.500 0.500 0.500

Values from the calculation:
**E_form**: -117 kJ/mol of formula units
**M_tot**: 0.00 μB/cell
**Symmetry**: F-43m, No. 216

No. 8
Computed, not measured: crystalline Li2Ac3Pr2Au4 at its relaxed geometry at the PBE level of DFT.

Cell: 4.820 4.820 15.918 Å, 90.00 90.00 120.00°
Atoms (fractional coordinates):
Li1 0.333 0.667 0.129
Li2 0.667 0.333 0.871
Ac1 0.000 0.000 0.000
Ac2 0.000 0.000 0.247
Ac3 0.000 0.000 0.753
Pr1 0.333 0.667 0.576
Pr2 0.667 0.333 0.424
Au1 0.333 0.667 0.353
Au2 0.333 0.667 0.879
Au3 0.667 0.333 0.121
Au4 0.667 0.333 0.647

Values from the calculation:
**E_form**: -552 kJ/mol of formula units
**M_tot**: 0.00 μB/cell
**Symmetry**: P-3m1, No. 164